BaAcPd2O5: optimized geometry, PBE.

Cell: 4.162 4.162 7.961 Å, 90.00 90.00 90.00°
Fractional coordinates of all 9 atoms:
1 Ba 0.000 0.000 0.500
2 Ac 0.000 0.000 0.000
3 Pd 0.500 0.500 0.232
4 Pd 0.500 0.500 0.768
5 O 0.000 0.500 0.201
6 O 0.500 0.000 0.201
7 O 0.000 0.500 0.799
8 O 0.500 0.000 0.799
9 O 0.500 0.500 0.500

The value obtained for the total magnetic moment is 0.0 μB/f.u. As for the space group: P4/mmm, No. 123. The formation energy without anion corrections comes out at -164.48 kJ/mol of atoms.